No. 1
DFT (PBE) results for an optimized crystal structure of ZnC.

Unit cell a=2.9856 b=2.9856 c=2.6577 alpha=90.00 beta=90.00 gamma=90.00
Space group P4/mmm (No. 123)
One atom of each set of equivalent atoms:
Zn 0.0000 0.0000 0.0000 (multiplicity 1)
C 0.5000 0.5000 0.0000 (multiplicity 1)

Energy above the lowest structure with this stoichiometry (eV per atom): 1.752
Volume (Å³/cell): 23.7
Energy relative to the elements (eV/atom): 1.834
Final energy (eV per atom): -3.415

No. 2
DFT (PBE) results for an optimized crystal structure of Zn4C3.

Unit cell a=4.8624 b=4.8624 c=4.8624 alpha=90.00 beta=90.00 gamma=90.00
Space group P-43m (No. 215)
One atom of each set of equivalent atoms:
Zn 0.2062 0.2062 0.2062 (multiplicity 4)
C 0.0000 0.0000 0.5000 (multiplicity 3)

Energy above the lowest structure with this stoichiometry (eV per atom): 0.071
Volume (Å³/cell): 115.0
Energy relative to the elements (eV/atom): 1.375
Final energy (eV per atom): -3.306

No. 3
DFT (PBE) results for an optimized crystal structure of ZnC.

Unit cell a=3.3652 b=3.3652 c=5.2814 alpha=90.00 beta=90.00 gamma=120.00
Space group P-3m1 (No. 164)
One atom of each set of equivalent atoms:
Zn 0.3333 0.6667 0.2894 (multiplicity 2)
C 0.0000 0.0000 0.1249 (multiplicity 2)

Energy above the lowest structure with this stoichiometry (eV per atom): 0.702
Volume (Å³/cell): 51.8
Energy relative to the elements (eV/atom): 0.784
Final energy (eV per atom): -4.465

No. 4
DFT (PBE) results for an optimized crystal structure of Zn2C.

Unit cell a=5.9136 b=3.4522 c=4.2142 alpha=90.00 beta=104.45 gamma=90.00
Space group C2/m (No. 12)
One atom of each set of equivalent atoms:
Zn 0.1334 0.0000 0.2925 (multiplicity 4)
C 0.0000 0.5000 0.5000 (multiplicity 2)

Energy above the lowest structure with this stoichiometry (eV per atom): 0.325
Volume (Å³/cell): 83.3
Energy relative to the elements (eV/atom): 0.949
Final energy (eV per atom): -2.975